A geometry-optimized VCrCo2 structure. Source: the Alexandria database, functional PBE.

Cell lengths 4.068, 4.068, 4.068 Å; angles 60.00, 60.00, 60.00 degrees
Last column: magnetic moment on the atom in μB.
Element x y z (fractional)
1 Co 0.750 0.750 0.750  1.21
2 Co 0.250 0.250 0.250  1.21
3 V 0.500 0.500 0.500  0.16
4 Cr 0.000 0.000 0.000  2.09

Computed properties:
- symmetry = Fm-3m (225)
- E_form (eV per atom) = 0.0232
- uncorrected energy (eV per atom) = -8.2152